(1)
The following is a DFT calculation (PBEsol) of SnPH5NO4F after structural relaxation.

a b c (Å): 5.2730 6.6095 15.3066
angles (deg): 90.00 90.00 90.00
Last column: nearest neighbours and their distance in Å.
Positions (direct):
Sn (0.2500, 0.1661, 0.8026)  1 F 2.09, 2 O 2.13
O (0.7500, 0.6565, 0.8718)  1 H 1.06
O (0.9874, 0.4853, 0.6261)  1 P 1.55
N (0.7500, 0.7916, 0.4947)  4 H 1.04-1.05
P (0.7500, 0.3792, 0.6642)  4 O 1.54-1.57
O (0.7500, 0.8721, 0.7354)  1 H 1.44, 1 P 1.54
H (0.4117, 0.2217, 0.4672)  1 N 1.04
O (0.2500, 0.6279, 0.2354)  1 H 1.44, 1 P 1.54
N (0.7500, 0.2916, 0.0053)  4 H 1.04-1.05
O (0.0126, 0.5147, 0.3739)  1 P 1.55
H (0.7500, 0.5420, 0.8237)  1 O 1.06
H (0.2500, 0.0683, 0.5374)  1 N 1.05
H (0.7500, 0.4317, 0.0374)  1 N 1.05
H (0.7500, 0.0420, 0.6763)  1 O 1.06
H (0.9117, 0.7783, 0.5328)  1 N 1.04
H (0.7500, 0.1767, 0.0517)  1 N 1.04
O (0.7500, 0.3721, 0.7646)  1 H 1.44, 1 P 1.54
Sn (0.7500, 0.3339, 0.3026)  1 F 2.09, 2 O 2.13
F (0.2500, 0.8383, 0.5831)  1 H 1.67
O (0.4874, 0.0147, 0.1261)  1 P 1.55
O (0.2500, 0.8435, 0.3718)  1 H 1.06
H (0.2500, 0.8233, 0.9483)  1 N 1.04
O (0.4874, 0.5147, 0.3739)  1 P 1.55
H (0.5883, 0.2783, 0.9672)  1 N 1.04
H (0.5883, 0.7783, 0.5328)  1 N 1.04
O (0.2500, 0.3435, 0.1282)  1 H 1.06
N (0.2500, 0.7084, 0.9947)  4 H 1.04-1.05
P (0.2500, 0.6208, 0.3358)  4 O 1.54-1.57
O (0.2500, 0.1279, 0.2646)  1 H 1.44, 1 P 1.54
Sn (0.7500, 0.8339, 0.1974)  1 F 2.09, 2 O 2.13
P (0.7500, 0.8792, 0.8358)  4 O 1.54-1.57
O (0.0126, 0.0147, 0.1261)  1 P 1.55
H (0.4117, 0.7217, 0.0328)  1 N 1.04
H (0.9117, 0.2783, 0.9672)  1 N 1.04
P (0.2500, 0.1208, 0.1642)  4 O 1.54-1.57
F (0.7500, 0.6617, 0.0831)  1 H 1.67
H (0.2500, 0.9580, 0.3237)  1 O 1.06
H (0.2500, 0.5683, 0.9626)  1 N 1.05
N (0.2500, 0.2084, 0.5053)  4 H 1.04-1.05
Sn (0.2500, 0.6661, 0.6974)  1 F 2.09, 2 O 2.13
O (0.7500, 0.1565, 0.6282)  1 H 1.06
H (0.2500, 0.3233, 0.5517)  1 N 1.04
H (0.7500, 0.6767, 0.4483)  1 N 1.04
H (0.7500, 0.9317, 0.4626)  1 N 1.05
H (0.0883, 0.7217, 0.0328)  1 N 1.04
H (0.0883, 0.2217, 0.4672)  1 N 1.04
O (0.5126, 0.9853, 0.8739)  1 P 1.55
H (0.2500, 0.4580, 0.1763)  1 O 1.06
O (0.5126, 0.4853, 0.6261)  1 P 1.55
F (0.2500, 0.3383, 0.9169)  1 H 1.67
O (0.9874, 0.9853, 0.8739)  1 P 1.55
F (0.7500, 0.1617, 0.4169)  1 H 1.67

Results
* DFT total energy: -5.867 eV/atom

---

(2)
The following is a DFT calculation (PBEsol) of Zr2H16SN3O6F9 after structural relaxation.

a b c (Å): 7.8988 7.8988 11.8029
angles (deg): 103.45 108.08 100.88
Last column: nearest neighbours and their distance in Å.
Positions (direct):
Zr (0.8571, 0.1169, 0.6135)  7 F 1.98-2.20, 1 O 2.21
H (0.1990, 0.2017, 0.9202)  1 N 1.03
H (0.1303, 0.6363, 0.1517)  1 O 1.02
H (0.6555, 0.8373, 0.3274)  1 N 1.04
O (0.5410, 0.1506, 0.2066)  2 H 1.00-1.02
H (0.0660, 0.5969, 0.6629)  1 N 1.03
H (0.8678, 0.6424, 0.6772)  1 N 1.04
O (0.5158, 0.1764, 0.9337)  1 S 1.49, 1 H 1.58
O (0.1619, 0.8304, 0.9923)  1 S 1.48
O (0.9440, 0.3344, 0.7934)  2 H 1.00-1.02
O (0.0560, 0.6656, 0.2066)  2 H 1.00-1.02
F (0.7226, 0.4245, 0.3967)  1 Zr 1.98, 3 H 2.02-2.07
F (0.3326, 0.9655, 0.2982)  2 Zr 2.16, 1 F 2.35
H (0.5276, 0.6659, 0.1935)  1 N 1.03
Zr (0.4966, 0.7564, 0.6135)  7 F 1.98-2.20, 1 O 2.21
F (0.3468, 0.7273, 0.4185)  1 H 1.83
O (0.7380, 0.3929, 0.1309)  1 S 1.50
H (0.6183, 0.2390, 0.1810)  1 O 1.00
H (0.9112, 0.6336, 0.5448)  1 N 1.04
H (0.1949, 0.0533, 0.0019)  1 N 1.05
F (0.6912, 0.0717, 0.4185)  1 H 1.83
Zr (0.1429, 0.8831, 0.3865)  7 F 1.98-2.20, 1 O 2.21
H (0.3817, 0.7610, 0.8190)  1 O 1.00
H (0.3445, 0.1627, 0.6726)  1 N 1.04
H (0.4847, 0.9786, 0.8483)  1 O 1.02
S (0.2876, 0.7122, 0.9998)  4 O 1.48-1.50
S (0.7124, 0.2878, 0.0002)  4 O 1.48-1.50
H (0.1322, 0.3576, 0.3228)  1 N 1.04
N (0.1831, 0.1831, 0.0000)  4 H 1.03-1.05
F (0.9722, 0.6741, 0.3967)  1 Zr 1.98, 3 H 2.02-2.07
O (0.4842, 0.8236, 0.0663)  1 S 1.49, 1 H 1.58
F (0.0278, 0.3259, 0.6033)  1 Zr 1.98, 3 H 2.02-2.07
H (0.9419, 0.5626, 0.1810)  1 O 1.00
H (0.5098, 0.3281, 0.6726)  1 N 1.04
N (0.5911, 0.6985, 0.2897)  4 H 1.03-1.04
H (0.9340, 0.4031, 0.3371)  1 N 1.03
H (0.0581, 0.4374, 0.8190)  1 O 1.00
N (0.9716, 0.6700, 0.6416)  4 H 1.03-1.04
F (0.3088, 0.9283, 0.5815)  1 H 1.83
N (0.8169, 0.8169, 0.0000)  4 H 1.03-1.05
O (0.4590, 0.8494, 0.7934)  2 H 1.00-1.02
O (0.2620, 0.6071, 0.8691)  1 S 1.50
H (0.8697, 0.3637, 0.8483)  1 O 1.02
O (0.8381, 0.1696, 0.0077)  1 S 1.48
F (0.0490, 0.0405, 0.7310)  1 H 1.76
H (0.2815, 0.2788, 0.0798)  1 N 1.03
F (0.9510, 0.9595, 0.2690)  1 H 1.76
F (0.0000, 0.0000, 0.5000)  2 Zr 2.16
H (0.4902, 0.6719, 0.3274)  1 N 1.04
N (0.0284, 0.3300, 0.3584)  4 H 1.03-1.04
F (0.6532, 0.2727, 0.5815)  1 H 1.83
N (0.4089, 0.3015, 0.7103)  4 H 1.03-1.04
H (0.9652, 0.1906, 0.3228)  1 N 1.04
O (0.2427, 0.5820, 0.0663)  1 S 1.49, 1 H 1.58
F (0.5000, 0.5000, 0.5000)  2 Zr 2.16
Zr (0.5034, 0.2436, 0.3865)  7 F 1.98-2.20, 1 O 2.21
O (0.7573, 0.4180, 0.9337)  1 S 1.49, 1 H 1.58
H (0.5153, 0.0214, 0.1517)  1 O 1.02
H (0.7185, 0.7212, 0.9202)  1 N 1.03
F (0.6674, 0.0345, 0.7018)  2 Zr 2.16, 1 F 2.35
H (0.0348, 0.8094, 0.6772)  1 N 1.04
F (0.3095, 0.3181, 0.2690)  1 H 1.76
H (0.3126, 0.3716, 0.6842)  1 N 1.04
F (0.6905, 0.6819, 0.7310)  1 H 1.76
F (0.7093, 0.8306, 0.5399)  2 Zr 2.17, 1 F 2.35, 2 H 2.43
H (0.9486, 0.8070, 0.0019)  1 N 1.05
H (0.8051, 0.9467, 0.9981)  1 N 1.05
H (0.4724, 0.3341, 0.8065)  1 N 1.03
F (0.2774, 0.5755, 0.6033)  1 Zr 1.98, 3 H 2.02-2.07
H (0.0514, 0.1930, 0.9981)  1 N 1.05
H (0.0888, 0.3664, 0.4552)  1 N 1.04
H (0.6874, 0.6284, 0.3158)  1 N 1.04
F (0.2907, 0.1694, 0.4601)  2 Zr 2.17, 1 F 2.35, 2 H 2.43
H (0.8010, 0.7983, 0.0798)  1 N 1.03

Results
* DFT total energy: -5.779 eV/atom

---

(3)
The following is a DFT calculation (PBEsol) of VH10N2O2F4 after structural relaxation.

a b c (Å): 6.9304 9.7776 9.7002
angles (deg): 90.00 99.39 90.00
Last column: nearest neighbours and their distance in Å.
Positions (direct):
N (0.7680, 0.3939, 0.8650)  4 H 1.04-1.05
O (0.6468, 0.3409, 0.1539)  1 V 1.61
F (0.0364, 0.1276, 0.7475)  1 H 1.60
N (0.6397, 0.6810, 0.5491)  4 H 1.04-1.05
O (0.9787, 0.6224, 0.3453)  2 H 1.00
F (0.9636, 0.6276, 0.7525)  1 H 1.60
N (0.2320, 0.6061, 0.1350)  4 H 1.04-1.05
V (0.7795, 0.0431, 0.7403)  1 O 1.61
H (0.0743, 0.6172, 0.4345)  1 O 1.00
O (0.3532, 0.6591, 0.8461)  1 V 1.61
F (0.2294, 0.8858, 0.0714)  1 H 1.57
H (0.2494, 0.1350, 0.8807)  1 N 1.04
F (0.4112, 0.4134, 0.7185)  2 H 1.60-1.68
H (0.3740, 0.9044, 0.6918)  1 N 1.05
H (0.2494, 0.3650, 0.3807)  1 N 1.04
H (0.6260, 0.0956, 0.3082)  1 N 1.05
F (0.1858, 0.4296, 0.9173)  2 H 1.66-1.71
H (0.3740, 0.5956, 0.1918)  1 N 1.05
H (0.9648, 0.7210, 0.3163)  1 O 1.00
H (0.2178, 0.7951, 0.5954)  1 N 1.04
H (0.7926, 0.4654, 0.9463)  1 N 1.05
F (0.8142, 0.5704, 0.0827)  2 H 1.66-1.71
O (0.3532, 0.8409, 0.3461)  1 V 1.61
N (0.6397, 0.8190, 0.0491)  4 H 1.04-1.05
F (0.0364, 0.3724, 0.2475)  1 H 1.60
H (0.9257, 0.3828, 0.5655)  1 O 1.00
H (0.2074, 0.9654, 0.5537)  1 N 1.05
H (0.0352, 0.2210, 0.1837)  1 O 1.00
F (0.5888, 0.9134, 0.7815)  2 H 1.60-1.68
F (0.5888, 0.5866, 0.2815)  2 H 1.60-1.68
O (0.0213, 0.1224, 0.1547)  2 H 1.00
H (0.8688, 0.4069, 0.7974)  1 N 1.04
N (0.3603, 0.3190, 0.4509)  4 H 1.04-1.05
H (0.1312, 0.9069, 0.7026)  1 N 1.04
V (0.2205, 0.9569, 0.2597)  1 O 1.61
F (0.8142, 0.9296, 0.5827)  2 H 1.66-1.71
H (0.2178, 0.7049, 0.0954)  1 N 1.04
H (0.6363, 0.6452, 0.4466)  1 N 1.05
H (0.9648, 0.7790, 0.8163)  1 O 1.00
F (0.1858, 0.0704, 0.4173)  2 H 1.66-1.71
H (0.8688, 0.0931, 0.2974)  1 N 1.04
F (0.7706, 0.3858, 0.4286)  1 H 1.57
V (0.7795, 0.4569, 0.2403)  1 O 1.61
F (0.7706, 0.1142, 0.9286)  1 H 1.57
H (0.7506, 0.8650, 0.1193)  1 N 1.04
N (0.7680, 0.1061, 0.3650)  4 H 1.04-1.05
F (0.4112, 0.0866, 0.2185)  2 H 1.60-1.68
F (0.2294, 0.6142, 0.5714)  1 H 1.57
V (0.2205, 0.5431, 0.7597)  1 O 1.61
H (0.0352, 0.2790, 0.6837)  1 O 1.00
H (0.7926, 0.0346, 0.4463)  1 N 1.05
O (0.9787, 0.8776, 0.8453)  2 H 1.00
H (0.6363, 0.8548, 0.9466)  1 N 1.05
H (0.1312, 0.5931, 0.2026)  1 N 1.04
H (0.6726, 0.7858, 0.5533)  1 N 1.05
H (0.5032, 0.8375, 0.0759)  1 N 1.04
H (0.5032, 0.6625, 0.5759)  1 N 1.04
H (0.6726, 0.7142, 0.0533)  1 N 1.05
H (0.7506, 0.6350, 0.6193)  1 N 1.04
N (0.3603, 0.1810, 0.9509)  4 H 1.04-1.05
H (0.3637, 0.3548, 0.5534)  1 N 1.05
H (0.3274, 0.2142, 0.4467)  1 N 1.05
H (0.7822, 0.2049, 0.4046)  1 N 1.04
H (0.3274, 0.2858, 0.9467)  1 N 1.05
O (0.0213, 0.3776, 0.6547)  2 H 1.00
F (0.9636, 0.8724, 0.2525)  1 H 1.60
H (0.2074, 0.5346, 0.0537)  1 N 1.05
O (0.6468, 0.1591, 0.6539)  1 V 1.61
H (0.3637, 0.1452, 0.0534)  1 N 1.05
H (0.9257, 0.1172, 0.0655)  1 O 1.00
N (0.2320, 0.8939, 0.6350)  4 H 1.04-1.05
H (0.0743, 0.8828, 0.9345)  1 O 1.00
H (0.4968, 0.1625, 0.9241)  1 N 1.04
H (0.7822, 0.2951, 0.9046)  1 N 1.04
H (0.6260, 0.4044, 0.8082)  1 N 1.05
H (0.4968, 0.3375, 0.4241)  1 N 1.04

Results
* DFT total energy: -5.464 eV/atom

---

(4)
The following is a DFT calculation (PBEsol) of ReHNF2 after structural relaxation.

a b c (Å): 3.7491 4.0235 4.0235
angles (deg): 90.00 90.00 90.00
Last column: nearest neighbours and their distance in Å.
Positions (direct):
N (0.5000, 0.0000, 0.0000)  2 Re 1.87
Re (0.0000, 0.0000, 0.0000)  2 N 1.87, 4 F 2.01
F (0.0000, 0.5000, 0.0000)  2 Re 2.01
F (0.0000, 0.0000, 0.5000)  2 Re 2.01
H (0.5000, 0.5000, 0.5000)  8 F 2.75, 4 N 2.85

Results
* DFT total energy: -6.080 eV/atom

---

Number 1: M_tot 0.00 μB/f.u.. Number 2: M_tot 0.11 μB/f.u.. Number 3: M_tot 1.00 μB/f.u.. Number 4: M_tot 1.19 μB/f.u..